No. 1
Compound: K2VF8
Source: Alexandria via LeMat-Bulk
Functional: PBE+U
Structure: relaxed

Computed properties:
calculated total energy = -50.8 eV/f.u.
crystal system = monoclinic
DOS at the Fermi energy = 4.1 states/eV/f.u.

Cell: 5.0497 5.7280 8.7881 Å, 89.43 106.70 90.00°
Last column: nearest neighbours and their distance in Å.
Atoms (fractional coordinates):
K: 0.8653 0.5037 0.7306  1 F 2.52
K: 0.1347 0.4963 0.2694  1 F 2.52
F: 0.1086 0.9992 0.2172  1 V 1.83
F: 0.2453 0.2295 0.9988  1 V 1.81
F: 0.7547 0.7705 0.0012  1 V 1.81
F: 0.7535 0.2295 0.9988  1 V 1.81
F: 0.7155 0.4980 0.4310  1 K 2.52, 2 F 2.78
F: 0.2845 0.5020 0.5690  1 K 2.52, 2 F 2.78
F: 0.8914 0.0008 0.7828  1 V 1.83
F: 0.2465 0.7705 0.0012  1 V 1.81
V: 0.0000 0.0000 0.0000  6 F 1.81-1.83



No. 2
Compound: KVF3
Source: Alexandria via LeMat-Bulk
Functional: PBE+U
Structure: relaxed

Computed properties:
calculated total energy = -26.9 eV/f.u.
crystal system = orthorhombic

Cell: 5.7729 11.4327 5.2269 Å, 90.00 90.00 90.00°
Last column: nearest neighbours and their distance in Å.
Atoms (fractional coordinates):
K: 0.5000 0.5000 0.0000  4 F 2.51-2.53
K: 0.5000 0.0000 0.0000  4 F 2.51-2.53
K: 0.0000 0.5000 0.5000  4 F 2.51-2.53
K: 0.0000 0.0000 0.5000  4 F 2.51-2.53
V: 0.5330 0.2500 0.4561  6 F 2.10-2.34
V: 0.0330 0.2500 0.0439  6 F 2.10-2.34
V: 0.9670 0.7500 0.9561  6 F 2.10-2.34
V: 0.4670 0.7500 0.5439  6 F 2.10-2.34
F: 0.2135 0.6372 0.7917  2 V 2.10-2.34
F: 0.6836 0.7500 0.2081  2 V 2.10-2.16
F: 0.2865 0.3628 0.2917  2 V 2.10-2.34
F: 0.7865 0.1372 0.2083  2 V 2.10-2.34
F: 0.1836 0.7500 0.2919  2 V 2.10-2.16
F: 0.8164 0.2500 0.7081  2 V 2.10-2.16
F: 0.2865 0.1372 0.2917  2 V 2.10-2.34
F: 0.2135 0.8628 0.7917  2 V 2.10-2.34
F: 0.7135 0.6372 0.7083  2 V 2.10-2.34
F: 0.3164 0.2500 0.7919  2 V 2.10-2.16
F: 0.7135 0.8628 0.7083  2 V 2.10-2.34
F: 0.7865 0.3628 0.2083  2 V 2.10-2.34



No. 3
Compound: K6VF12
Source: Alexandria via LeMat-Bulk
Functional: PBE+U
Structure: relaxed

Computed properties:
calculated total energy = -85.0 eV/f.u.
crystal system = trigonal
DOS at the Fermi energy = 14.5 states/eV/f.u.

Cell: 7.5512 7.5512 7.5512 Å, 99.47 99.47 99.47°
Last column: nearest neighbours and their distance in Å.
Atoms (fractional coordinates):
F: 0.4254 0.1666 0.6006  4 K 2.55-2.62
F: 0.6006 0.4254 0.1666  4 K 2.55-2.62
F: 0.7599 0.0126 0.9351  1 V 1.82
F: 0.0126 0.9351 0.7599  1 V 1.82
F: 0.3994 0.5746 0.8334  4 K 2.55-2.62
F: 0.5746 0.8334 0.3994  4 K 2.55-2.62
F: 0.0649 0.2401 0.9874  1 V 1.82
F: 0.1666 0.6006 0.4254  4 K 2.55-2.62
F: 0.2401 0.9874 0.0649  1 V 1.82
F: 0.9351 0.7599 0.0126  1 V 1.82
F: 0.8334 0.3994 0.5746  4 K 2.55-2.62
F: 0.9874 0.0649 0.2401  1 V 1.82
K: 0.8470 0.6737 0.4044  4 F 2.55-2.62
K: 0.5956 0.1530 0.3263  4 F 2.55-2.62
K: 0.3263 0.5956 0.1530  4 F 2.55-2.62
K: 0.1530 0.3263 0.5956  4 F 2.55-2.62
K: 0.4044 0.8470 0.6737  4 F 2.55-2.62
K: 0.6737 0.4044 0.8470  4 F 2.55-2.62
V: 0.0000 0.0000 0.0000  6 F 1.82



No. 4
Compound: KVF3
Source: Alexandria via LeMat-Bulk
Functional: PBE+U
Structure: relaxed

Computed properties:
calculated total energy = -27.4 eV/f.u.
crystal system = monoclinic
DOS at the Fermi energy = 0.0 states/eV/f.u.

Cell: 3.3814 5.5287 7.8889 Å, 90.00 90.04 90.00°
Last column: nearest neighbours and their distance in Å.
Atoms (fractional coordinates):
F: 0.2497 0.4956 0.8648  2 V 2.17
F: 0.7503 0.9956 0.1352  2 V 2.17
F: 0.7503 0.5044 0.1352  2 V 2.17
F: 0.2497 0.0044 0.8648  2 V 2.17
F: 0.2511 0.7500 0.3877  1 V 2.07
F: 0.7489 0.2500 0.6123  1 V 2.07
K: 0.7514 0.7500 0.6374  8 F 2.60-2.84
K: 0.2486 0.2500 0.3626  8 F 2.60-2.84
V: 0.7496 0.2500 0.8753  5 F 2.07-2.17
V: 0.2504 0.7500 0.1247  5 F 2.07-2.17



No. 5
Compound: K3VF6
Source: Alexandria via LeMat-Bulk
Functional: PBE+U
Structure: relaxed

Computed properties:
calculated total energy = -51.0 eV/f.u.
crystal system = triclinic
DOS at the Fermi energy = 0.0 states/eV/f.u.

Cell: 6.2509 6.2979 6.4238 Å, 121.03 120.05 90.25°
Last column: nearest neighbours and their distance in Å.
Atoms (fractional coordinates):
F: 0.2597 0.8309 0.9667  1 V 1.99
F: 0.1092 0.2360 0.9269  1 V 1.98
F: 0.7403 0.1691 0.0333  1 V 1.99
F: 0.7239 0.7347 0.5613  1 V 1.99
F: 0.8908 0.7640 0.0731  1 V 1.98
F: 0.2761 0.2653 0.4387  1 V 1.99
K: 0.5000 0.5000 0.0000  6 F 2.56-2.64
K: 0.2593 0.7300 0.5026  6 F 2.69-2.98
K: 0.7407 0.2700 0.4974  6 F 2.69-2.98
V: 0.0000 0.0000 0.0000  6 F 1.98-1.99



No. 6
Compound: K2VWF
Source: Alexandria via LeMat-Bulk
Functional: PBE+U
Structure: relaxed

Computed properties:
calculated total energy = -16.3 eV/f.u.
crystal system = tetragonal
DOS at the Fermi energy = 3.5 states/eV/f.u.

Cell: 6.8741 3.9318 6.8741 Å, 90.00 90.00 90.00°
Last column: nearest neighbours and their distance in Å.
Atoms (fractional coordinates):
K: 0.0000 0.0000 0.5000  2 V 3.44
K: 0.5000 0.0000 0.0000  2 V 3.44
F: 0.0000 0.5000 0.0000  2 V 1.97
W: 0.5000 0.5000 0.5000  2 W 3.93, 8 K 3.96
V: 0.0000 0.0000 0.0000  2 F 1.97



No. 7
Compound: KVWF2
Source: Alexandria via LeMat-Bulk
Functional: PBE+U
Structure: relaxed

Computed properties:
calculated total energy = -20.8 eV/f.u.
crystal system = tetragonal
DOS at the Fermi energy = 1.1 states/eV/f.u.

Cell: 4.3349 7.6688 4.3349 Å, 90.00 90.00 90.00°
Last column: nearest neighbours and their distance in Å.
Atoms (fractional coordinates):
V: 0.0000 0.0000 0.0000  4 F 2.17
F: 0.5000 0.0000 0.0000  2 V 2.17
F: 0.0000 0.0000 0.5000  2 V 2.17
K: 0.0000 0.5000 0.0000  4 W 3.07
W: 0.5000 0.5000 0.5000  4 K 3.07



No. 8
Compound: KYVF6
Source: Alexandria via LeMat-Bulk
Functional: PBE+U
Structure: relaxed

Computed properties:
calculated total energy = -56.2 eV/f.u.
crystal system = trigonal
DOS at the Fermi energy = 0.0 states/eV/f.u.

Cell: 5.8473 5.8473 11.0099 Å, 90.00 90.00 120.00°
Last column: nearest neighbours and their distance in Å.
Atoms (fractional coordinates):
Y: 0.3333 0.6667 0.7500  6 F 2.21
Y: 0.6667 0.3333 0.2500  6 F 2.21
F: 0.3742 0.0090 0.6472  1 V 2.14, 1 Y 2.21
F: 0.6347 0.6258 0.6472  1 V 2.14, 1 Y 2.21
F: 0.6258 0.9910 0.3528  1 V 2.14, 1 Y 2.21
F: 0.6258 0.6347 0.1472  1 V 2.14, 1 Y 2.21
F: 0.9911 0.6258 0.8528  1 V 2.14, 1 Y 2.21
F: 0.6347 0.0090 0.8528  1 V 2.14, 1 Y 2.21
F: 0.3653 0.3742 0.3528  1 V 2.14, 1 Y 2.21
F: 0.3653 0.9910 0.1472  1 V 2.14, 1 Y 2.21
F: 0.0089 0.3742 0.1472  1 V 2.14, 1 Y 2.21
F: 0.9911 0.3653 0.6472  1 V 2.14, 1 Y 2.21
F: 0.0089 0.6347 0.3528  1 V 2.14, 1 Y 2.21
F: 0.3742 0.3653 0.8528  1 V 2.14, 1 Y 2.21
K: 0.0000 0.0000 0.5000  6 F 2.70
K: 0.0000 0.0000 0.0000  6 F 2.70
V: 0.6667 0.3333 0.7500  6 F 2.14
V: 0.3333 0.6667 0.2500  6 F 2.14



Please write out number 7 again, unchanged.
Compound: KVWF2
Source: Alexandria via LeMat-Bulk
Functional: PBE+U
Structure: relaxed

Computed properties:
calculated total energy = -20.8 eV/f.u.
crystal system = tetragonal
DOS at the Fermi energy = 1.1 states/eV/f.u.

Cell: 4.3349 7.6688 4.3349 Å, 90.00 90.00 90.00°
Last column: nearest neighbours and their distance in Å.
Atoms (fractional coordinates):
V: 0.0000 0.0000 0.0000  4 F 2.17
F: 0.5000 0.0000 0.0000  2 V 2.17
F: 0.0000 0.0000 0.5000  2 V 2.17
K: 0.0000 0.5000 0.0000  4 W 3.07
W: 0.5000 0.5000 0.5000  4 K 3.07



Q: Which formula does entry 6 have?
A: K2VWF



Q: What is the formula in the fourth record?
A: KVF3